(1)
6
Lattice="3.083 0.000 0.000 0.000 3.083 0.000 0.000 0.000 8.848" Properties=species:S:1:pos:R:3 comment="GGA-PBE NbSi3Tc2, relaxed" crystal_system=tetragonal magnetic_moment_mub_per_fu=0.01 e_tot_ev_per_atom=-8.330 pbc="T T T"
Nb 0.000 0.000 0.000
Si 0.000 0.000 3.022
Si 1.541 1.541 4.452
Si 1.541 1.541 7.148
Tc 0.000 0.000 5.694
Tc 1.541 1.541 1.908



(2)
8
Lattice="5.304 0.000 0.000 0.000 5.304 0.000 0.000 0.000 5.288" Properties=species:S:1:pos:R:3 comment="GGA-PBE Ta2NbSb, relaxed" crystal_system=tetragonal magnetic_moment_mub_per_fu=0.00 e_tot_ev_per_atom=-9.643 pbc="T T T"
Ta 0.000 1.322 0.000
Ta 0.000 3.982 0.000
Ta 1.322 0.000 2.644
Ta 3.982 0.000 2.644
Nb 2.652 2.652 1.322
Nb 2.652 2.652 3.966
Sb 0.000 2.652 2.644
Sb 2.652 0.000 0.000



- Which formula does entry 2 have?
  Ta2NbSb



- Number 2 is which compound?
  Ta2NbSb